Material: CsSc2TlW
Method: DFT, GGA-PBEsol
State: optimized geometry

Cell lengths 5.121, 5.121, 5.957 Å; angles 90.00, 90.00, 90.00 degrees
Positions (direct):
1 Cs 0.000 0.000 0.000
2 Sc 0.000 0.500 0.500
3 Sc 0.500 0.000 0.500
4 Tl 0.500 0.500 0.000
5 W 0.000 0.000 0.500

Values from the calculation:
Volume = 156.22 Å³ per cell
Total magnetization = 0.00 μB/cell
ΔE_f = 1.0843 eV per atom
Uncorrected energy = -5.034 eV/atom